No. 1
# LaCr2NiP

A relaxed structure of LaCr2NiP (GGA-PBE, Alexandria via LeMat-Bulk).

The calculation puts the mass density at 6300 kg/m³. As for the energy: -7.0500 eV/atom. The magnetic moment is 0.88 μB/atom. The energy relative to the elements comes out at 0.02 eV/atom. As for the crystal system: tetragonal.

Unit cell a=4.479 b=4.370 c=4.479 alpha=90.00 beta=90.00 gamma=90.00
Fractional coordinates of all 5 atoms:
Ni 0.000 0.500 0.000
Cr 0.000 0.000 0.500
Cr 0.500 0.000 0.000
P 0.000 0.000 0.000
La 0.500 0.500 0.500

No. 2
# LaCr2NiSe

A relaxed structure of LaCr2NiSe (GGA-PBE, Alexandria via LeMat-Bulk).

The calculation puts the mass density at 5007 kg/m³. As for the energy: -6.1506 eV/atom. For the formation energy from raw total energies, the calculation gives 0.54 eV/atom. The magnetic moment is 1.66 μB/atom. As for the crystal system: tetragonal.

Unit cell a=4.683 b=5.754 c=4.683 alpha=90.00 beta=90.00 gamma=90.00
Fractional coordinates of all 5 atoms:
Ni 0.500 0.500 0.500
Cr 0.000 0.000 0.500
Cr 0.500 0.000 0.000
Se 0.000 0.000 0.000
La 0.000 0.500 0.000

No. 3
# La2Zn3CrNi12

A relaxed structure of La2Zn3CrNi12 (GGA-PBE, Alexandria via LeMat-Bulk).

The calculation puts the mass density at 7477 kg/m³. As for the energy: -5.0235 eV/atom. The magnetic moment is 0.14 μB/atom. The energy relative to the elements comes out at 0.13 eV/atom. As for the crystal system: trigonal.

Unit cell a=9.161 b=9.161 c=9.161 alpha=38.95 beta=38.95 gamma=38.95
Fractional coordinates of all 18 atoms:
La 0.657 0.657 0.657
La 0.343 0.343 0.343
Zn 0.500 0.000 0.000
Zn 0.000 0.500 0.000
Zn 0.000 0.000 0.500
Cr 0.000 0.000 0.000
Ni 0.422 0.422 0.812
Ni 0.932 0.932 0.345
Ni 0.345 0.932 0.932
Ni 0.812 0.422 0.422
Ni 0.932 0.345 0.932
Ni 0.422 0.812 0.422
Ni 0.578 0.578 0.188
Ni 0.068 0.068 0.655
Ni 0.655 0.068 0.068
Ni 0.188 0.578 0.578
Ni 0.068 0.655 0.068
Ni 0.578 0.188 0.578